(1)
VASP calculation (meta-GGA SCAN) on CoSbSeN2 at its PBEsol-relaxed geometry.

Properties
volume = 85.6 Å³ per cell
E = -17.294 eV per atom

Unit cell a=3.9091 b=3.9091 c=5.6013 alpha=90.00 beta=90.00 gamma=90.00
With the nearest neighbours (Å) after each atom.
Sites, in units of the cell vectors:
Co 0.5000 0.5000 0.5000  4 Se 2.76
Se 0.0000 0.0000 0.5000  4 Co 2.76, 2 Sb 2.80
N 0.5000 0.0000 0.0000  2 Sb 1.95
N 0.0000 0.5000 0.0000  2 Sb 1.95
Sb 0.0000 0.0000 0.0000  4 N 1.95

***

(2)
VASP calculation (meta-GGA SCAN) on ZnCo2SbN at its PBEsol-relaxed geometry.

Properties
volume = 87.8 Å³ per cell
E = -17.428 eV per atom

Unit cell a=4.0580 b=4.6520 c=4.6520 alpha=90.00 beta=90.00 gamma=90.00
With the nearest neighbours (Å) after each atom.
Sites, in units of the cell vectors:
N 0.5000 0.0000 0.0000  2 Sb 2.03
Co 0.0000 0.0000 0.5000  2 Sb 2.33
Co 0.0000 0.5000 0.0000  2 Sb 2.33
Zn 0.5000 0.5000 0.5000  8 Co 3.09, 4 N 3.29
Sb 0.0000 0.0000 0.0000  2 N 2.03

***

(3)
VASP calculation (meta-GGA SCAN) on Sc2CoTcN at its PBEsol-relaxed geometry.

Properties
volume = 68.6 Å³ per cell
E = -18.608 eV per atom

Unit cell a=3.4947 b=4.4310 c=4.4310 alpha=90.00 beta=90.00 gamma=90.00
With the nearest neighbours (Å) after each atom.
Sites, in units of the cell vectors:
Sc 0.0000 0.5000 0.0000  2 N 2.22
Sc 0.0000 0.0000 0.5000  2 N 2.22
N 0.0000 0.0000 0.0000  2 Co 1.75
Tc 0.5000 0.5000 0.5000  8 Sc 2.82, 4 Co 3.13
Co 0.5000 0.0000 0.0000  2 N 1.75

***

(4)
VASP calculation (meta-GGA SCAN) on ScZnCo2N at its PBEsol-relaxed geometry.

Properties
volume = 78.7 Å³ per cell
E = -13.050 eV per atom

Unit cell a=3.9410 b=4.4691 c=4.4691 alpha=90.00 beta=90.00 gamma=90.00
With the nearest neighbours (Å) after each atom.
Sites, in units of the cell vectors:
Zn 0.5000 0.5000 0.5000  8 Co 2.98, 4 N 3.16
Sc 0.0000 0.0000 0.0000  2 N 1.97
Co 0.0000 0.5000 0.0000  2 Sc 2.23
Co 0.0000 0.0000 0.5000  2 Sc 2.23
N 0.5000 0.0000 0.0000  2 Sc 1.97